## YHf3Os (GGA-PBE)

Data for an optimized crystal structure of YHf3Os.

Cell: 5.0698 5.0698 5.0698 Å, 90.00 90.00 90.00°
Atoms (fractional coordinates):
Os: 0.0000 0.0000 0.0000
Hf: 0.5000 0.0000 0.0000
Hf: 0.0000 0.0000 0.5000
Hf: 0.0000 0.5000 0.0000
Y: 0.5000 0.5000 0.5000

* formation energy: 203 meV per atom
* excess energy over the best structure of this formula in the dataset: 0 meV per atom

=====

## MnBeIn2 (GGA-PBE)

Data for an optimized crystal structure of MnBeIn2.

Cell: 5.8643 5.8643 4.5067 Å, 68.63 68.63 29.39°
Each line ends with the local moment (μB).
Atoms (fractional coordinates):
Be: 0.8051 0.8051 0.7004  -0.06
In: 0.2189 0.2189 0.2873  -0.04
In: 0.0013 0.0013 0.9936  -0.10
Mn: 0.4746 0.4746 0.5188  2.68

* formation energy: 337 meV per atom

=====

## KCdHgS2 (GGA-PBE)

Data for an optimized crystal structure of KCdHgS2.

Cell: 7.2721 7.4602 6.0674 Å, 111.48 90.00 90.00°
Atoms (fractional coordinates):
S: 0.6904 0.7700 0.8957
S: 0.3096 0.2300 0.1043
S: 0.6904 0.2300 0.6043
S: 0.3096 0.7700 0.3957
K: 0.6910 0.5000 0.2500
K: 0.3090 0.5000 0.7500
Cd: 0.4994 0.0000 0.7500
Cd: 0.5006 0.0000 0.2500
Hg: 0.0000 0.0000 0.0000
Hg: 0.0000 0.0000 0.5000

* formation energy (no corrections): -0.47 eV per atom

=====

## PmZrRh2 (GGA-PBE)

Data for an optimized crystal structure of PmZrRh2.

Cell: 3.3618 3.3618 7.0333 Å, 90.00 90.00 90.00°
Atoms (fractional coordinates):
Rh: 0.0000 0.0000 0.2170
Rh: 0.0000 0.0000 0.7830
Pm: 0.5000 0.5000 0.5000
Zr: 0.5000 0.5000 0.0000

* formation energy: -738 meV per atom
* excess energy over the best structure of this formula in the dataset: 0 meV per atom

=====

no.,magnetization (μB per formula unit)
1,0.0
2,2.4
3,0.0
4,0.0